Record 1
## IrAuBr2 (GGA-PBEsol)

Data for a relaxed structure of IrAuBr2.

Properties
**M_tot**: 0.00 μB/cell
**Crystal system**: orthorhombic
**Calculated total energy**: -13.54 eV/cell
**Formation energy (no corrections)**: 987.2 meV per atom

Cell: 3.177 4.831 4.831 Å, 98.37 90.00 90.00°
Sites, in units of the cell vectors:
1 Ir 0.500 0.000 0.000
2 Au 0.500 0.500 0.500
3 Br 0.000 0.500 0.000
4 Br 0.000 0.000 0.500



Record 2
## Cu2SiS3 (GGA-PBEsol)

Data for a relaxed structure of Cu2SiS3.

Properties
**M_tot**: 0.00 μB/cell
**Crystal system**: orthorhombic
**Calculated total energy**: -121.79 eV/cell
**Formation energy (no corrections)**: -479.9 meV per atom

Cell: 6.268 6.268 11.581 Å, 100.56 100.56 108.85°
Sites, in units of the cell vectors:
1 Cu 0.419 0.250 0.659
2 Cu 0.081 0.919 0.000
3 Cu 0.750 0.581 0.341
4 Cu 0.511 0.842 0.841
5 Cu 0.158 0.489 0.159
6 Cu 0.831 0.169 0.500
7 Cu 0.586 0.414 0.000
8 Cu 0.336 0.664 0.500
9 Si 0.268 0.100 0.333
10 Si 0.900 0.732 0.667
11 Si 0.982 0.315 0.833
12 Si 0.685 0.018 0.167
13 S 0.307 0.881 0.169
14 S 0.964 0.555 0.512
15 S 0.627 0.215 0.830
16 S 0.785 0.373 0.170
17 S 0.445 0.036 0.488
18 S 0.119 0.693 0.831
19 S 0.201 0.293 0.988
20 S 0.888 0.961 0.331
21 S 0.547 0.635 0.670
22 S 0.039 0.112 0.669
23 S 0.707 0.799 0.012
24 S 0.365 0.453 0.330



Record 3
## ReSi2H (GGA-PBEsol)

Data for a relaxed structure of ReSi2H.

Properties
**M_tot**: 0.00 μB/cell
**Crystal system**: cubic
**Calculated total energy**: -25.77 eV/cell

Cell: 4.070 4.070 4.070 Å, 60.00 60.00 60.00°
Sites, in units of the cell vectors:
1 Re 0.500 0.500 0.500
2 Si 0.250 0.250 0.250
3 Si 0.750 0.750 0.750
4 H 0.000 0.000 0.000



Record 4
## CrPb2Se (GGA-PBEsol)

Data for a relaxed structure of CrPb2Se.

Properties
**M_tot**: 4.17 μB/cell
**Crystal system**: orthorhombic
**Calculated total energy**: -20.94 eV/cell
**Formation energy (no corrections)**: 286.7 meV per atom

Cell: 3.571 5.123 5.123 Å, 94.36 89.97 89.97°
Sites, in units of the cell vectors:
1 Cr 0.500 0.000 0.000
2 Pb 0.000 0.000 0.500
3 Pb 0.000 0.500 0.000
4 Se 0.500 0.500 0.500



Record 5
## ScZn2Co (GGA-PBEsol)

Data for a relaxed structure of ScZn2Co.

Properties
**M_tot**: 1.12 μB/cell
**Crystal system**: trigonal
**Calculated total energy**: -17.02 eV/cell

Cell: 2.816 2.816 8.782 Å, 80.77 80.77 60.00°
Sites, in units of the cell vectors:
1 Co 0.500 0.500 0.500
2 Sc 0.000 0.000 0.000
3 Zn 0.239 0.239 0.282
4 Zn 0.761 0.761 0.718



Record 6
## InAgP (GGA-PBEsol)

Data for a relaxed structure of InAgP.

Properties
**M_tot**: 0.00 μB/cell
**Crystal system**: cubic
**Calculated total energy**: -11.48 eV/cell

Cell: 4.465 4.465 4.465 Å, 60.00 60.00 60.00°
Sites, in units of the cell vectors:
1 Ag 0.000 0.000 0.000
2 In 0.500 0.500 0.500
3 P 0.250 0.250 0.250



Record 7
## AlSiRu (GGA-PBEsol)

Data for a relaxed structure of AlSiRu.

Properties
**M_tot**: 0.00 μB/cell
**Crystal system**: trigonal
**Calculated total energy**: -21.10 eV/cell
**Formation energy (no corrections)**: -362.5 meV per atom

Cell: 2.869 2.869 5.900 Å, 90.00 90.00 120.00°
Sites, in units of the cell vectors:
1 Ru 0.333 0.667 0.655
2 Si 0.667 0.333 0.358
3 Al 0.000 0.000 0.988



Record 8
## Ta7Cr (GGA-PBEsol)

Data for a relaxed structure of Ta7Cr.

Properties
**M_tot**: 0.00 μB/cell
**Crystal system**: trigonal
**Calculated total energy**: -195.36 eV/cell

Cell: 6.467 6.467 6.467 Å, 89.53 89.53 89.53°
Sites, in units of the cell vectors:
1 Cr 0.375 0.375 0.375
2 Cr 0.625 0.625 0.625
3 Ta 0.129 0.129 0.129
4 Ta 0.618 0.130 0.130
5 Ta 0.130 0.618 0.130
6 Ta 0.619 0.619 0.132
7 Ta 0.868 0.381 0.381
8 Ta 0.381 0.868 0.381
9 Ta 0.870 0.870 0.382
10 Ta 0.130 0.130 0.618
11 Ta 0.619 0.132 0.619
12 Ta 0.132 0.619 0.619
13 Ta 0.381 0.381 0.868
14 Ta 0.870 0.382 0.870
15 Ta 0.382 0.870 0.870
16 Ta 0.871 0.871 0.871